(1)
Lu2MnRu | PBE | optimized geometry

Computed properties:
The crystal system is tetragonal. The calculation puts the total magnetization at 3.254 μB/f.u. The energy of formation from the pure elements is -0.2116 eV/atom.

a b c (Å): 3.372 3.372 6.901
angles (deg): 90.00 90.00 90.00
Space group P4/mmm (No. 123)
Asymmetric unit:
Lu 0.000 0.000 0.235 x2
Mn 0.500 0.500 0.500 x1
Ru 0.500 0.500 0.000 x1

---

(2)
CaAuCl2 | PBE | optimized geometry

Computed properties:
The crystal system is trigonal. The calculation puts the total magnetization at 0.000 μB/f.u. Its uncorrected formation energy is -0.569 eV/atom.

a b c (Å): 4.2273 4.2273 23.8664
angles (deg): 90.00 90.00 120.00
Space group R-3m (No. 166, hexagonal axes)
Asymmetric unit:
Ca 0.0000 0.0000 0.0000 x3
Au 0.0000 0.0000 0.5000 x3
Cl 0.0000 0.0000 0.1095 x6

---

(3)
DySnHgPb | PBE | optimized geometry

Computed properties:
The crystal system is cubic. The calculation puts the total magnetization at 0.000 μB/f.u. The energy of formation from the pure elements is -0.2360 eV/atom.

a b c (Å): 7.627 7.627 7.627
angles (deg): 90.00 90.00 90.00
Space group F-43m (No. 216)
Asymmetric unit:
Dy 0.000 0.000 0.000 x4
Sn 0.250 0.250 0.250 x4
Hg 0.250 0.250 0.750 x4
Pb 0.000 0.000 0.500 x4

---

(4)
YCoAg2S | PBE | optimized geometry

Computed properties:
The crystal system is tetragonal. The calculation puts the total magnetization at 0.000 μB/f.u. Its uncorrected formation energy is 0.148 eV/atom.

a b c (Å): 4.933 4.933 4.109
angles (deg): 90.00 90.00 90.00
Space group P4/mmm (No. 123)
Asymmetric unit:
Y 0.000 0.000 0.000 x1
Co 0.500 0.500 0.000 x1
Ag 0.000 0.500 0.500 x2
S 0.500 0.500 0.500 x1

---

| no. | volume (Å³ per cell) |
| --- | --- |
| 1 | 78.5 |
| 2 | 369.4 |
| 3 | 443.7 |
| 4 | 100.0 |